Si2NiCl: optimized geometry, PBE-GGA.

CIF file:
```
data_Si2NiCl
_chemical_formula_sum 'Si2 Ni1 Cl1'
_symmetry_space_group_name_H-M 'P 1'
_symmetry_Int_Tables_number 1
_cell_length_a 5.4745
_cell_length_b 5.4745
_cell_length_c 5.3079
_cell_angle_alpha 95.48
_cell_angle_beta 95.48
_cell_angle_gamma 31.19
loop_
_symmetry_equiv_pos_as_xyz
'x,y,z'
loop_
_atom_site_label
_atom_site_type_symbol
_atom_site_fract_x
_atom_site_fract_y
_atom_site_fract_z
_atom_site_occupancy
Si1 Si 0.0000 0.0000 0.0000 1
Si2 Si 0.0690 0.0690 0.4368 1
Ni1 Ni 0.4751 0.4751 0.6881 1
Cl1 Cl 0.2717 0.2717 0.4134 1
```

Formation energy (no corrections) ... -75 meV/atom
Energy above the lowest structure with this stoichiometry ... 250 meV per atom
Density of states at the Fermi level ... 1.27 states/eV/f.u.
Volume ... 20.495 Å³ per atom
Electronic total energy ... -18.77 eV/cell
Symmetry ... Cm, No. 8